Entry 1:
{
  "formula": "MnTcW",
  "functional": "PBE-GGA",
  "state": "relaxed",
  "lattice": [[-1.353, 1.353, 5.722], [1.353, -1.353, 5.722], [1.353, 1.353, -5.722]],
  "species": ["Mn", "Tc", "W"],
  "frac_coords": [[0.000, 0.000, 0.000], [0.643, 0.643, 0.000], [0.334, 0.334, 0.000]],
  "volume_a3_per_atom": 13.974,
  "dft_energy_ev_per_atom": -10.692,
  "de_polymorph_mev_per_atom": 38,
  "formation_enthalpy_0k_mev_per_atom": 138,
  "sg": "I4mm (107)",
  "n_ef_per_ev_atom": 1.00
}

Entry 2:
{
  "formula": "MnTc2W",
  "functional": "PBE-GGA",
  "state": "relaxed",
  "lattice": [[2.707, 0.000, 0.000], [0.000, 2.707, 0.000], [0.000, 0.000, 7.732]],
  "species": ["Mn", "Tc", "Tc", "W"],
  "frac_coords": [[0.000, 0.000, 0.000], [0.500, 0.500, 0.220], [0.500, 0.500, 0.780], [0.000, 0.000, 0.500]],
  "volume_a3_per_atom": 14.162,
  "dft_energy_ev_per_atom": -10.570,
  "formation_enthalpy_0k_mev_per_atom": 143,
  "sg": "P4/mmm (123)",
  "n_ef_per_ev_atom": 1.32
}

Entry 3:
{
  "formula": "Mn3TcW",
  "functional": "PBE-GGA",
  "state": "relaxed",
  "lattice": [[4.296, 0.000, 0.000], [0.000, 4.296, 0.000], [0.000, 0.000, 4.296]],
  "species": ["Mn", "Mn", "Mn", "Tc", "W"],
  "frac_coords": [[0.000, 0.000, 0.500], [0.000, 0.500, 0.000], [0.500, 0.000, 0.000], [0.000, 0.000, 0.000], [0.500, 0.500, 0.500]],
  "volume_a3_per_atom": 15.859,
  "dft_energy_ev_per_atom": -8.388,
  "de_polymorph_mev_per_atom": 0,
  "formation_enthalpy_0k_mev_per_atom": 1777,
  "sg": "Pm-3m (221)",
  "n_ef_per_ev_atom": 1.89
}

Entry 4:
{
  "formula": "MnTc2W",
  "functional": "PBE-GGA",
  "state": "relaxed",
  "lattice": [[-3.451, 3.451, 2.543], [3.451, -3.451, 2.543], [3.451, 3.451, -2.543]],
  "species": ["Mn", "Mn", "Tc", "Tc", "Tc", "Tc", "W", "W"],
  "frac_coords": [[0.000, 0.000, 0.000], [0.750, 0.250, 0.500], [0.095, 0.625, 0.970], [0.375, 0.345, 0.470], [0.655, 0.125, 0.030], [0.875, 0.905, 0.530], [0.250, 0.750, 0.500], [0.500, 0.500, 0.000]],
  "volume_a3_per_atom": 15.143,
  "dft_energy_ev_per_atom": -9.939,
  "formation_enthalpy_0k_mev_per_atom": 775,
  "sg": "I-42d (122)",
  "n_ef_per_ev_atom": 1.18
}

Entry 5:
{
  "formula": "Mn2TcW",
  "functional": "PBE-GGA",
  "state": "relaxed",
  "lattice": [[-3.352, 3.352, 2.611], [3.352, -3.352, 2.611], [3.352, 3.352, -2.611]],
  "species": ["Mn", "Mn", "Mn", "Mn", "Tc", "Tc", "W", "W"],
  "frac_coords": [[0.119, 0.625, 0.994], [0.375, 0.369, 0.494], [0.631, 0.125, 0.006], [0.875, 0.881, 0.506], [0.000, 0.000, 0.000], [0.750, 0.250, 0.500], [0.250, 0.750, 0.500], [0.500, 0.500, 0.000]],
  "volume_a3_per_atom": 14.672,
  "dft_energy_ev_per_atom": -9.719,
  "de_polymorph_mev_per_atom": 628,
  "formation_enthalpy_0k_mev_per_atom": 695,
  "sg": "I-42d (122)",
  "n_ef_per_ev_atom": 0.91
}

Entry 6:
{
  "formula": "MnTc2W",
  "functional": "PBE-GGA",
  "state": "relaxed",
  "lattice": [[1.363, 0.787, 8.885], [-1.363, 0.787, 8.885], [0.000, -1.574, 8.885]],
  "species": ["Mn", "Tc", "Tc", "W"],
  "frac_coords": [[0.000, 0.000, 0.000], [0.257, 0.257, 0.257], [0.743, 0.743, 0.743], [0.500, 0.500, 0.500]],
  "volume_a3_per_atom": 14.298,
  "dft_energy_ev_per_atom": -10.488,
  "formation_enthalpy_0k_mev_per_atom": 226,
  "sg": "R-3m (166)",
  "n_ef_per_ev_atom": 1.26
}